Below is an optimized crystal structure of NaCd4Pb7, with properties calculated at the GGA-PBE level.

abc: 7.602 7.602 11.299
angles: 122.74 122.74 44.20
Atoms (fractional coordinates):
Na1 0.000 0.000 0.000
Cd1 0.295 0.295 0.675
Cd2 0.438 0.438 0.224
Cd3 0.562 0.562 0.776
Cd4 0.705 0.705 0.325
Pb1 0.082 0.082 0.351
Pb2 0.215 0.215 0.883
Pb3 0.346 0.346 0.415
Pb4 0.500 0.500 0.000
Pb5 0.654 0.654 0.585
Pb6 0.785 0.785 0.117
Pb7 0.918 0.918 0.649

Computed properties:
Electronic total energy (eV per atom): -2.49
ΔH_f (0 K) (eV/atom): 0.083
Calculated density (g/cm³): 8.64
SG: C2/m (12)
Calculated volume (Å³/atom): 30.807